BaRh3Pb3 | Alexandria | PBE | relaxed; final energy = -4.975 eV per atom; ΔE_f = 0.040 eV per atom; crystal system = cubic; space group = Pm-3n
1.0
7.468 0.000 0.000
0.000 7.468 0.000
0.000 0.000 7.468
Pb Rh Ba
6 6 2
Cartesian
0.000 1.867 3.734
0.000 5.601 3.734
3.734 0.000 5.601
5.601 3.734 0.000
3.734 0.000 1.867
1.867 3.734 0.000
1.867 0.000 3.734
0.000 3.734 1.867
3.734 5.601 0.000
5.601 0.000 3.734
0.000 3.734 5.601
3.734 1.867 0.000
3.734 3.734 3.734
0.000 0.000 0.000



Ba2Rh3Pb5 | Alexandria | PBE | relaxed; final energy = -4.729 eV per atom; ΔE_f = -0.284 eV per atom; crystal system = orthorhombic; space group = Cmc2_1
1.0
-3.187 3.273 1.423
-4.824 -2.252 -5.627
-4.222 -11.115 8.067
Ba Rh Pb
4 6 10
Cartesian
-9.211 -10.718 4.020
-5.521 -4.939 -1.006
-6.456 -5.036 5.166
-3.173 0.553 -0.334
-8.237 -5.188 1.529
-5.342 -1.548 -0.359
-5.301 -3.179 -4.563
-3.644 -4.742 2.745
-9.086 -7.921 5.912
-4.684 -7.515 6.796
-6.571 -8.534 4.911
-5.839 -6.635 2.182
-4.114 -2.395 4.339
-2.654 -2.948 0.837
-7.893 -7.688 0.004
-7.285 -7.090 8.037
-6.005 -3.183 1.915
-9.536 -7.126 3.076
-3.482 -2.320 -2.464
-6.992 -2.181 -2.601



BaRhPb | Alexandria | PBE | relaxed; final energy = -4.606 eV per atom; ΔE_f = -0.278 eV per atom; crystal system = hexagonal; space group = P-6m2
1.0
-0.406 4.519 1.223
-1.972 -3.339 2.655
4.106 -0.340 2.621
Ba Rh Pb
1 1 1
Cartesian
0.000 0.000 0.000
0.604 -0.889 3.488
1.125 1.730 3.011



BaRh2Pb | Alexandria | PBE | relaxed; final energy = -4.970 eV per atom; ΔE_f = 0.113 eV per atom; crystal system = orthorhombic; space group = Imm2
1.0
5.915 1.051 -1.905
2.277 5.786 -1.029
-2.519 -4.265 3.896
Ba Rh Pb
1 2 1
Cartesian
4.074 3.400 -1.459
0.040 0.033 -0.014
1.629 2.220 0.807
4.026 0.336 0.162



Ba2Rh7Pb12 | Alexandria | PBE | relaxed; final energy = -4.891 eV per atom; ΔE_f = -0.139 eV per atom; crystal system = hexagonal; space group = P-6
1.0
-0.604 -4.420 0.400
11.460 -1.610 -0.491
-5.186 1.634 10.227
Ba Rh Pb
2 7 12
Cartesian
-0.302 -2.210 0.200
5.911 -0.528 3.082
0.363 0.553 6.654
-3.536 1.188 7.795
3.336 0.403 9.490
1.288 0.066 2.678
4.006 -2.298 5.737
8.544 -3.122 3.476
4.279 -2.797 0.632
6.746 -2.654 5.929
7.310 -3.178 0.997
2.772 -2.384 2.919
-1.728 -1.300 8.108
2.054 -1.844 7.798
-0.144 -1.829 4.657
-2.159 0.783 5.398
0.568 0.779 9.465
2.680 0.096 5.100
5.096 -0.040 7.255
9.923 -1.197 1.749
2.715 -0.349 0.241



Ba4RhPb | Alexandria | PBE | relaxed; final energy = -3.433 eV per atom; ΔE_f = -0.308 eV per atom; crystal system = monoclinic; space group = C2/c
1.0
-2.278 6.684 0.468
-6.382 -4.688 -5.548
0.294 -2.805 8.711
Ba Rh Pb
8 2 2
Cartesian
-1.258 -3.096 6.305
-6.213 0.001 2.196
-4.547 -3.355 4.077
-6.718 -3.770 0.761
-1.648 2.960 2.869
-3.819 2.546 -0.447
-2.153 -0.811 1.434
-7.108 2.286 -2.675
-0.578 1.667 0.131
-7.788 -2.477 3.500
-4.817 -1.146 -1.042
-3.549 0.337 4.672



BaRh2Pb | Alexandria | PBE | relaxed; final energy = -4.874 eV per atom; ΔE_f = 0.210 eV per atom; crystal system = tetragonal; space group = I-42d
1.0
-3.191 2.148 -6.715
-0.369 -7.412 -2.195
-4.895 -2.891 -3.057
Pb Rh Ba
2 4 2
Cartesian
0.000 0.000 0.000
-4.933 -1.687 -7.114
-3.407 -0.211 -5.535
-1.711 -5.182 -2.676
-4.990 -3.811 -5.536
-6.803 -7.104 -10.187
-1.780 -2.632 -4.455
-3.522 -6.467 -4.854



Ba2RhPb6 | Alexandria | PBE | relaxed; final energy = -4.062 eV per atom; ΔE_f = -0.345 eV per atom; crystal system = trigonal; space group = P-3m1
1.0
-4.771 3.087 2.684
-2.490 -6.204 2.711
2.202 -2.241 6.493
Ba Rh Pb
2 1 6
Cartesian
-4.021 -3.153 8.291
-1.037 -2.205 3.597
0.000 0.000 0.000
-0.416 -3.019 7.112
-1.660 -6.117 8.468
-2.758 -4.997 5.224
-4.642 -2.339 4.775
-3.399 0.759 3.420
-2.300 -0.360 6.664



Respective total magnetization values: 0.0, 0.0, 0.0, 0.0, 0.0, 0.5, 0.0, 0.0 μB per cell.